# 1
This record from the Alexandria database describes a geometry-optimized ThInHg4 structure. The functional is PBE.

```
ThInHg4
1.0
-1.460 5.420 2.224
0.164 0.962 5.958
4.276 3.542 2.369
Hg Th In
4 1 1
Direct
0.625 0.625 0.125
0.625 0.125 0.625
0.625 0.625 0.625
0.125 0.625 0.625
0.250 0.250 0.250
0.000 0.000 0.000
```

# 2
This record from the Alexandria database describes a geometry-optimized Th2In3Hg structure. The functional is PBE.

```
Th2In3Hg
1.0
-1.343 3.313 0.544
-3.518 -1.930 3.068
5.397 1.062 6.857
Th In Hg
2 3 1
Direct
0.000 0.500 0.003
0.000 0.000 0.497
0.500 0.000 0.833
0.500 0.000 0.168
0.500 0.500 0.665
0.500 0.500 0.333
```

# 3
This record from the Alexandria database describes a geometry-optimized Th4InHg3 structure. The functional is PBE.

```
Th4InHg3
1.0
5.771 0.000 0.000
0.000 6.921 0.000
0.000 0.000 11.144
Hg Th In
6 8 2
Direct
0.000 0.000 0.000
0.000 0.000 0.500
0.620 0.000 0.750
0.380 0.000 0.250
0.623 0.500 0.750
0.377 0.500 0.250
0.500 0.750 0.000
0.500 0.750 0.500
0.500 0.250 0.000
0.500 0.250 0.500
0.113 0.751 0.750
0.887 0.751 0.250
0.887 0.249 0.250
0.113 0.249 0.750
0.000 0.500 0.000
0.000 0.500 0.500
```

no.,E (eV/atom),E_form (eV per formula unit)
1,-1.87,0.1
2,-4.17,-1.7
3,-4.38,-1.7